This record from the Alexandria database describes a geometry-optimized NpTl3Cl8 structure. The functional is PBE-GGA.

a b c (Å): 7.198 7.198 8.724
angles (deg): 114.36 114.36 90.00
Fractional positions:
Tl (0.500, 0.500, 0.000)
Tl (0.750, 0.250, 0.500)
Tl (0.250, 0.750, 0.500)
Cl (0.108, 0.108, 0.777)
Cl (0.670, 0.108, 0.777)
Cl (0.892, 0.330, 0.223)
Cl (0.330, 0.330, 0.223)
Cl (0.892, 0.892, 0.223)
Cl (0.108, 0.670, 0.777)
Cl (0.670, 0.670, 0.777)
Cl (0.330, 0.892, 0.223)
Np (0.000, 0.000, 0.000)

Output
Energy relative to the lowest polymorph listed for this composition in meV/atom: 0
Raw formation energy in meV per atom: -1182
Space-group type: I4/mmm (139)